! YCd3W SCAN PBEsol geometry; values from VASP
&SYSTEM
  ibrav = 0, nat = 5, ntyp = 3
/
ATOMIC_SPECIES
Y 88.91 Y.upf
W 183.84 W.upf
Cd 112.41 Cd.upf
CELL_PARAMETERS angstrom
-2.4159 4.2399 1.5074
0.7226 -1.3232 4.8799
4.4415 2.5215 0.0261
ATOMIC_POSITIONS crystal
Y 0.5000 0.5000 0.5000
W 0.0000 0.0000 0.0000
Cd 0.0000 0.5000 0.0000
Cd 0.0000 0.0000 0.5000
Cd 0.5000 0.0000 0.0000
! - DOS at the Fermi energy: 4.1 states/eV/f.u.
! - Space group: No. 221
! - DFT formation energy: 843 meV/atom
! - Calculated total energy: -36.912 eV/atom